[1]
VASP calculation (PBE) on an optimized crystal structure of Re2IrBr.

Summary:
The formation energy (no corrections) is 1468 meV per atom. As for the offset from the most stable computed form: 941 meV/atom. Its size of the total moment is 0.00 μB/cell. Its raw total energy is -7.390 eV/atom.

The structure in CIF format:
```
data_Re2IrBr
_cell_length_a 5.818
_cell_length_b 5.818
_cell_length_c 6.681
_cell_angle_alpha 64.19
_cell_angle_beta 64.19
_cell_angle_gamma 90.00
_symmetry_space_group_name_H-M 'P 1'
_symmetry_Int_Tables_number 1
_symmetry_space_group_name_Hall 'P 1'
loop_
_atom_site_label
_atom_site_type_symbol
_atom_site_fract_x
_atom_site_fract_y
_atom_site_fract_z
Re1 Re 0.638 0.125 0.250
Re2 Re 0.112 0.625 0.250
Re3 Re 0.375 0.362 0.750
Re4 Re 0.875 0.888 0.750
Ir1 Ir 0.000 0.000 0.000
Ir2 Ir 0.750 0.250 0.500
Br1 Br 0.500 0.500 0.000
Br2 Br 0.250 0.750 0.500
```

[2]
VASP calculation (PBE) on an optimized crystal structure of BaOs2Rh.

Summary:
Its formation energy is 1.571 eV/atom. As for the offset from the most stable computed form: 1257 meV/atom. Its size of the total moment is 2.75 μB/cell. Its raw total energy is -6.363 eV/atom.

The structure in CIF format:
```
data_BaOs2Rh
_cell_length_a 5.139
_cell_length_b 5.139
_cell_length_c 2.932
_cell_angle_alpha 90.00
_cell_angle_beta 90.00
_cell_angle_gamma 90.00
_symmetry_space_group_name_H-M 'P 1'
_symmetry_Int_Tables_number 1
_symmetry_space_group_name_Hall 'P 1'
loop_
_atom_site_label
_atom_site_type_symbol
_atom_site_fract_x
_atom_site_fract_y
_atom_site_fract_z
Ba1 Ba 0.000 0.000 0.500
Os1 Os 0.500 0.000 0.000
Os2 Os 0.000 0.500 0.000
Rh1 Rh 0.500 0.500 0.500
```

[3]
VASP calculation (PBE) on an optimized crystal structure of Fe3TcRh4.

Summary:
Its formation energy is -0.031 eV/atom. Its size of the total moment is 15.81 μB/cell. Its raw total energy is -8.176 eV/atom.

The structure in CIF format:
```
data_Fe3TcRh4
_cell_length_a 4.589
_cell_length_b 5.413
_cell_length_c 8.658
_cell_angle_alpha 90.00
_cell_angle_beta 90.00
_cell_angle_gamma 90.00
_symmetry_space_group_name_H-M 'P 1'
_symmetry_Int_Tables_number 1
_symmetry_space_group_name_Hall 'P 1'
loop_
_atom_site_label
_atom_site_type_symbol
_atom_site_fract_x
_atom_site_fract_y
_atom_site_fract_z
Rh1 Rh 0.500 0.750 0.000
Rh2 Rh 0.500 0.750 0.500
Rh3 Rh 0.500 0.250 0.000
Rh4 Rh 0.500 0.250 0.500
Rh5 Rh 0.148 0.754 0.750
Rh6 Rh 0.852 0.754 0.250
Rh7 Rh 0.852 0.246 0.250
Rh8 Rh 0.148 0.246 0.750
Fe1 Fe 0.000 0.000 0.000
Fe2 Fe 0.000 0.000 0.500
Fe3 Fe 0.657 0.000 0.750
Fe4 Fe 0.343 0.000 0.250
Fe5 Fe 0.659 0.500 0.750
Fe6 Fe 0.341 0.500 0.250
Tc1 Tc 0.000 0.500 0.000
Tc2 Tc 0.000 0.500 0.500
```

[4]
VASP calculation (PBE) on an optimized crystal structure of YTl2Pb.

Summary:
Its formation energy is -0.096 eV/atom. Its size of the total moment is 0.00 μB/cell. Its raw total energy is -3.823 eV/atom.

The structure in CIF format:
```
data_YTl2Pb
_cell_length_a 10.796
_cell_length_b 10.796
_cell_length_c 10.796
_cell_angle_alpha 19.42
_cell_angle_beta 19.42
_cell_angle_gamma 19.42
_symmetry_space_group_name_H-M 'P 1'
_symmetry_Int_Tables_number 1
_symmetry_space_group_name_Hall 'P 1'
loop_
_atom_site_label
_atom_site_type_symbol
_atom_site_fract_x
_atom_site_fract_y
_atom_site_fract_z
Pb1 Pb 0.752 0.752 0.752
Tl1 Tl 0.998 0.998 0.998
Tl2 Tl 0.248 0.248 0.248
Y1 Y 0.502 0.502 0.502
```

[5]
VASP calculation (PBE) on an optimized crystal structure of CeGdRh.

Summary:
Its formation energy is -0.408 eV/atom. As for the offset from the most stable computed form: 54 meV/atom. Its size of the total moment is 8.37 μB/cell. Its raw total energy is -9.530 eV/atom.

The structure in CIF format:
```
data_CeGdRh
_cell_length_a 4.860
_cell_length_b 4.860
_cell_length_c 4.860
_cell_angle_alpha 60.00
_cell_angle_beta 60.00
_cell_angle_gamma 60.00
_symmetry_space_group_name_H-M 'P 1'
_symmetry_Int_Tables_number 1
_symmetry_space_group_name_Hall 'P 1'
loop_
_atom_site_label
_atom_site_type_symbol
_atom_site_fract_x
_atom_site_fract_y
_atom_site_fract_z
Gd1 Gd 0.000 0.000 0.000
Rh1 Rh 0.250 0.250 0.250
Ce1 Ce 0.500 0.500 0.500
```

[6]
VASP calculation (PBE) on an optimized crystal structure of ZnTc3N.

Summary:
The formation energy (no corrections) is 1188 meV per atom. As for the offset from the most stable computed form: 1164 meV/atom. Its size of the total moment is 0.00 μB/cell. Its raw total energy is -6.952 eV/atom.

The structure in CIF format:
```
data_ZnTc3N
_cell_length_a 5.508
_cell_length_b 5.508
_cell_length_c 5.508
_cell_angle_alpha 53.91
_cell_angle_beta 53.91
_cell_angle_gamma 53.91
_symmetry_space_group_name_H-M 'P 1'
_symmetry_Int_Tables_number 1
_symmetry_space_group_name_Hall 'P 1'
loop_
_atom_site_label
_atom_site_type_symbol
_atom_site_fract_x
_atom_site_fract_y
_atom_site_fract_z
Zn1 Zn 0.821 0.821 0.821
Tc1 Tc 0.822 0.321 0.822
Tc2 Tc 0.321 0.822 0.822
Tc3 Tc 0.822 0.822 0.321
N1 N 0.089 0.089 0.089
```

[7]
VASP calculation (PBE) on an optimized crystal structure of In3FeN.

Summary:
The formation energy (no corrections) is 1060 meV per atom. As for the offset from the most stable computed form: 230 meV/atom. Its size of the total moment is 3.70 μB/cell. Its raw total energy is -3.941 eV/atom.

The structure in CIF format:
```
data_In3FeN
_cell_length_a 4.992
_cell_length_b 4.992
_cell_length_c 4.992
_cell_angle_alpha 90.00
_cell_angle_beta 90.00
_cell_angle_gamma 90.00
_symmetry_space_group_name_H-M 'P 1'
_symmetry_Int_Tables_number 1
_symmetry_space_group_name_Hall 'P 1'
loop_
_atom_site_label
_atom_site_type_symbol
_atom_site_fract_x
_atom_site_fract_y
_atom_site_fract_z
N1 N 0.500 0.500 0.500
Fe1 Fe 0.000 0.000 0.000
In1 In 0.000 0.500 0.000
In2 In 0.000 0.000 0.500
In3 In 0.500 0.000 0.000
```

[8]
VASP calculation (PBE) on an optimized crystal structure of VS8I2.

Summary:
The formation energy (no corrections) is -66 meV per atom. Its size of the total moment is 1.32 μB/cell. Its raw total energy is -4.179 eV/atom.

The structure in CIF format:
```
data_VS8I2
_cell_length_a 6.532
_cell_length_b 3.794
_cell_length_c 22.375
_cell_angle_alpha 86.08
_cell_angle_beta 44.51
_cell_angle_gamma 107.35
_symmetry_space_group_name_H-M 'P 1'
_symmetry_Int_Tables_number 1
_symmetry_space_group_name_Hall 'P 1'
loop_
_atom_site_label
_atom_site_type_symbol
_atom_site_fract_x
_atom_site_fract_y
_atom_site_fract_z
V1 V 0.000 0.000 0.000
S1 S 0.879 0.595 0.184
S2 S 0.181 0.033 0.176
S3 S 0.121 0.405 0.816
S4 S 0.338 0.691 0.966
S5 S 0.819 0.967 0.824
S6 S 0.319 0.189 0.843
S7 S 0.681 0.811 0.157
S8 S 0.662 0.309 0.034
I1 I 0.274 0.185 0.403
I2 I 0.726 0.814 0.597
```

[9]
VASP calculation (PBE) on an optimized crystal structure of NaCuAs2S4.

Summary:
The formation energy (no corrections) is -256 meV per atom. Its size of the total moment is 0.00 μB/cell. Its raw total energy is -4.159 eV/atom.

The structure in CIF format:
```
data_NaCuAs2S4
_cell_length_a 6.199
_cell_length_b 6.199
_cell_length_c 5.754
_cell_angle_alpha 113.36
_cell_angle_beta 113.36
_cell_angle_gamma 105.30
_symmetry_space_group_name_H-M 'P 1'
_symmetry_Int_Tables_number 1
_symmetry_space_group_name_Hall 'P 1'
loop_
_atom_site_label
_atom_site_type_symbol
_atom_site_fract_x
_atom_site_fract_y
_atom_site_fract_z
Na1 Na 0.061 0.061 0.121
Cu1 Cu 0.498 0.498 0.997
As1 As 0.782 0.282 0.565
As2 As 0.282 0.782 0.565
S1 S 0.568 0.568 0.664
S2 S 0.388 0.825 0.213
S3 S 0.825 0.388 0.213
S4 S 0.096 0.096 0.664
```

[10]
VASP calculation (PBE) on an optimized crystal structure of Cs2Li2Mg.

Summary:
Its formation energy is 0.247 eV/atom. As for the offset from the most stable computed form: 8 meV/atom. Its size of the total moment is 0.00 μB/cell. Its raw total energy is -1.179 eV/atom.

The structure in CIF format:
```
data_Cs2Li2Mg
_cell_length_a 4.338
_cell_length_b 4.338
_cell_length_c 13.254
_cell_angle_alpha 80.58
_cell_angle_beta 80.58
_cell_angle_gamma 90.00
_symmetry_space_group_name_H-M 'P 1'
_symmetry_Int_Tables_number 1
_symmetry_space_group_name_Hall 'P 1'
loop_
_atom_site_label
_atom_site_type_symbol
_atom_site_fract_x
_atom_site_fract_y
_atom_site_fract_z
Cs1 Cs 0.389 0.389 0.222
Cs2 Cs 0.611 0.611 0.778
Mg1 Mg 0.000 0.000 0.000
Li1 Li 0.750 0.250 0.500
Li2 Li 0.250 0.750 0.500
```

[11]
VASP calculation (PBE) on an optimized crystal structure of Pm2AlZnGa6.

Summary:
Its formation energy is -0.235 eV/atom. Its size of the total moment is 0.00 μB/cell. Its raw total energy is -3.502 eV/atom.

The structure in CIF format:
```
data_Pm2AlZnGa6
_cell_length_a 6.389
_cell_length_b 6.389
_cell_length_c 12.578
_cell_angle_alpha 75.29
_cell_angle_beta 75.29
_cell_angle_gamma 60.00
_symmetry_space_group_name_H-M 'P 1'
_symmetry_Int_Tables_number 1
_symmetry_space_group_name_Hall 'P 1'
loop_
_atom_site_label
_atom_site_type_symbol
_atom_site_fract_x
_atom_site_fract_y
_atom_site_fract_z
Pm1 Pm 0.887 0.887 0.338
Pm2 Pm 0.113 0.113 0.662
Pm3 Pm 0.703 0.703 0.891
Pm4 Pm 0.297 0.297 0.109
Al1 Al 0.000 0.000 0.000
Al2 Al 0.500 0.500 0.500
Zn1 Zn 0.570 0.570 0.291
Zn2 Zn 0.430 0.430 0.709
Ga1 Ga 0.946 0.336 0.382
Ga2 Ga 0.336 0.946 0.382
Ga3 Ga 0.336 0.336 0.382
Ga4 Ga 0.054 0.664 0.618
Ga5 Ga 0.664 0.054 0.618
Ga6 Ga 0.664 0.664 0.618
Ga7 Ga 0.665 0.231 0.874
Ga8 Ga 0.231 0.665 0.874
Ga9 Ga 0.231 0.231 0.874
Ga10 Ga 0.335 0.769 0.126
Ga11 Ga 0.769 0.335 0.126
Ga12 Ga 0.769 0.769 0.126
```

[12]
VASP calculation (PBE) on an optimized crystal structure of BaCaCl2.

Summary:
The formation energy (no corrections) is -1602 meV per atom. As for the offset from the most stable computed form: 94 meV/atom. Its size of the total moment is 0.06 μB/cell. Its raw total energy is -3.506 eV/atom.

The structure in CIF format:
```
data_BaCaCl2
_cell_length_a 10.586
_cell_length_b 10.586
_cell_length_c 10.586
_cell_angle_alpha 158.59
_cell_angle_beta 158.81
_cell_angle_gamma 30.31
_symmetry_space_group_name_H-M 'P 1'
_symmetry_Int_Tables_number 1
_symmetry_space_group_name_Hall 'P 1'
loop_
_atom_site_label
_atom_site_type_symbol
_atom_site_fract_x
_atom_site_fract_y
_atom_site_fract_z
Ca1 Ca 0.720 0.220 0.500
Ba1 Ba 0.537 0.537 0.000
Cl1 Cl 0.968 0.968 0.000
Cl2 Cl 0.275 0.775 0.500
```